Entry 1:
VASP calculation (PBE) on an optimized crystal structure of Rb3TeF.

Unit cell a=5.9359 b=5.9359 c=15.2480 alpha=90.00 beta=90.00 gamma=120.00
Closest atoms and distances in Å follow each position.
Space group P6_3/mmc (No. 194)
Symmetry-distinct sites (fractional):
Rb 0.0000 0.0000 0.2500 [2 per cell]  3 F 3.43, 2 Te 3.81
Rb 0.3333 0.6667 0.0782 [4 per cell]  1 F 2.62
Te 0.0000 0.0000 0.0000 [2 per cell]  8 Rb 3.63-3.81
F 0.3333 0.6667 0.2500 [2 per cell]  2 Rb 2.62

**Density of states at the Fermi level**: 0.0 states/eV per cell
**Electronic total energy**: -15.86 eV/f.u.
**M_tot**: 0.00 μB/f.u.
**Energy above the lowest structure with this stoichiometry**: 0.0904 eV per atom
**ΔE_f (raw)**: -7.95 eV/f.u.
**Calculated density**: 2.88 g/cm³

=====

Entry 2:
VASP calculation (PBE) on an optimized crystal structure of AgRuBr6.

Unit cell a=6.5862 b=6.5902 c=7.0781 alpha=117.61 beta=90.09 gamma=119.93
Closest atoms and distances in Å follow each position.
Space group P-1 (No. 2)
Symmetry-distinct sites (fractional):
Ag 0.0000 0.0000 0.0000 [1 per cell]  6 Br 2.82-2.84
Ru 0.5000 0.0000 0.5000 [1 per cell]  6 Br 2.50
Br 0.1006 0.8240 0.2617 [2 per cell]  1 Ru 2.50
Br 0.2772 0.8388 0.7381 [2 per cell]  1 Ru 2.50
Br 0.4386 0.5401 0.2623 [2 per cell]  1 Ru 2.50

**Density of states at the Fermi level**: 7.6 states/eV per cell
**Electronic total energy**: -23.61 eV/f.u.
**M_tot**: 2.93 μB/f.u.
**Energy above the lowest structure with this stoichiometry**: 0.0176 eV per atom
**ΔE_f (raw)**: -1.44 eV/f.u.
**Calculated density**: 5.08 g/cm³

=====

Entry 3:
VASP calculation (PBE) on an optimized crystal structure of LiLaCd11.

Unit cell a=5.8802 b=14.1011 c=7.6488 alpha=90.00 beta=111.87 gamma=90.00
Closest atoms and distances in Å follow each position.
Space group C2/m (No. 12)
Symmetry-distinct sites (fractional):
Li 0.0000 0.0000 0.0000 [2 per cell]  10 Cd 2.84-3.00
La 0.0000 0.5000 0.5000 [2 per cell]  18 Cd 3.51-3.82, 2 Li 3.86
Cd 0.0000 0.5000 0.0000 [2 per cell]  8 Cd 2.93-3.04, 2 Li 2.94
Cd 0.0985 0.1056 0.7199 [8 per cell]  1 Li 2.84, 7 Cd 2.93-3.16
Cd 0.1875 0.3273 0.8560 [8 per cell]  7 Cd 2.99-3.28, 1 Li 3.00
Cd 0.2500 0.2500 0.5000 [4 per cell]  10 Cd 2.93-3.16

**ΔH_f (0 K)**: -0.183 eV per atom
**Density of states at the Fermi level**: 11.2 states/eV per cell
**Electronic total energy**: -19.28 eV/f.u.
**M_tot**: 0.00 μB/f.u.
**Calculated density**: 7.80 g/cm³

=====

Entry 4:
VASP calculation (PBE) on an optimized crystal structure of KHgPAu2.

Unit cell a=4.8949 b=4.8949 c=5.5757 alpha=90.00 beta=90.00 gamma=90.00
Closest atoms and distances in Å follow each position.
Space group P4/mmm (No. 123)
Symmetry-distinct sites (fractional):
K 0.0000 0.0000 0.0000 [1 per cell]  4 Hg 3.46, 8 Au 3.71
Hg 0.5000 0.5000 0.0000 [1 per cell]  2 P 2.79
P 0.5000 0.5000 0.5000 [1 per cell]  4 Au 2.45
Au 0.0000 0.5000 0.5000 [2 per cell]  2 P 2.45

**ΔH_f (0 K)**: -0.086 eV per atom
**Density of states at the Fermi level**: 1.3 states/eV per cell
**Electronic total energy**: -13.79 eV/f.u.
**M_tot**: 0.00 μB/f.u.
**Calculated density**: 8.26 g/cm³

=====

Entry 5:
VASP calculation (PBE) on an optimized crystal structure of CsGe2O2.

Unit cell a=8.2952 b=8.2952 c=3.2075 alpha=90.00 beta=90.00 gamma=90.00
Closest atoms and distances in Å follow each position.
Space group P4/mbm (No. 127)
Symmetry-distinct sites (fractional):
Cs 0.0000 0.0000 0.0000 [2 per cell]  2 Cs 3.21, 4 O 3.40
Ge 0.1006 0.3994 0.5000 [4 per cell]  4 O 2.34, 1 Ge 2.36
O 0.1040 0.6040 0.0000 [4 per cell]  4 Ge 2.34, 1 O 2.44

**Density of states at the Fermi level**: 3.7 states/eV per cell
**Electronic total energy**: -21.49 eV/f.u.
**M_tot**: 0.00 μB/f.u.
**Energy above the lowest structure with this stoichiometry**: 0.2004 eV per atom
**ΔE_f (raw)**: -1.48 eV/f.u.
**Calculated density**: 4.67 g/cm³

=====

Entry 6:
VASP calculation (PBE) on an optimized crystal structure of Ca2BeAl.

Unit cell a=5.0169 b=5.0169 c=7.0479 alpha=90.00 beta=90.00 gamma=90.00
Closest atoms and distances in Å follow each position.
Space group I-4m2 (No. 119)
Symmetry-distinct sites (fractional):
Ca 0.0000 0.0000 0.0000 [2 per cell]  4 Ca 3.07, 4 Be 3.07
Ca 0.0000 0.5000 0.2500 [2 per cell]  4 Ca 3.07, 4 Al 3.07
Be 0.0000 0.5000 0.7500 [2 per cell]  4 Ca 3.07, 4 Al 3.07
Al 0.0000 0.0000 0.5000 [2 per cell]  4 Be 3.07, 4 Ca 3.07

**ΔH_f (0 K)**: 0.295 eV per atom
**Density of states at the Fermi level**: 4.6 states/eV per cell
**Electronic total energy**: -10.29 eV/f.u.
**M_tot**: 0.00 μB/f.u.
**Energy above the lowest structure with this stoichiometry**: 0.3015 eV per atom
**Calculated density**: 2.17 g/cm³

=====

Entry 7:
VASP calculation (PBE) on an optimized crystal structure of HSeBr2.

Unit cell a=4.2816 b=7.3720 c=9.3198 alpha=93.11 beta=95.85 gamma=102.06
Closest atoms and distances in Å follow each position.
Space group P1 (No. 1)
Symmetry-distinct sites (fractional):
H 0.0000 0.0000 0.0000 [1 per cell]  1 Br 1.46
H 0.4021 0.2652 0.8829 [1 per cell]  1 Br 1.47
Se 0.1955 0.7402 0.2669 [1 per cell]  1 Se 2.28, 1 Br 2.47
Se 0.7690 0.5044 0.2894 [1 per cell]  1 Se 2.28, 1 Br 2.39
Br 0.0571 0.9735 0.8489 [1 per cell]  1 H 1.46
Br 0.6303 0.4452 0.9093 [1 per cell]  1 H 1.47
Br 0.7277 0.4826 0.5415 [1 per cell]  1 Se 2.39
Br 0.9841 0.0262 0.2520 [1 per cell]  1 H 2.35, 1 Se 2.47

**Density of states at the Fermi level**: 0.0 states/eV per cell
**Electronic total energy**: -10.81 eV/f.u.
**M_tot**: 0.00 μB/f.u.
**Energy above the lowest structure with this stoichiometry**: 0.0000 eV per atom
**Calculated density**: 2.79 g/cm³

=====

Entry 8:
VASP calculation (PBE) on an optimized crystal structure of KGaC.

Unit cell a=6.4338 b=3.6561 c=6.5738 alpha=90.00 beta=101.65 gamma=90.00
Closest atoms and distances in Å follow each position.
Space group P2/m (No. 10)
Symmetry-distinct sites (fractional):
K 0.2314 0.0000 0.3128 [2 per cell]  4 C 2.94-3.04
Ga 0.3427 0.5000 0.8391 [2 per cell]  1 C 2.00
C 0.0832 0.5000 0.9632 [2 per cell]  1 C 1.26

**ΔH_f (0 K)**: 0.238 eV per atom
**Density of states at the Fermi level**: 2.0 states/eV per cell
**Electronic total energy**: -12.63 eV/f.u.
**M_tot**: 0.00 μB/f.u.
**Calculated density**: 2.65 g/cm³

=====

Entry 9:
VASP calculation (PBE) on an optimized crystal structure of AcVP.

Unit cell a=4.2733 b=4.2733 c=4.5937 alpha=90.00 beta=90.00 gamma=120.00
Closest atoms and distances in Å follow each position.
Space group P-6m2 (No. 187)
Symmetry-distinct sites (fractional):
Ac 0.0000 0.0000 0.0000 [1 per cell]  6 V 3.37, 6 P 3.37
V 0.6667 0.3333 0.5000 [1 per cell]  3 P 2.47
P 0.3333 0.6667 0.5000 [1 per cell]  3 V 2.47

**ΔH_f (0 K)**: -0.480 eV per atom
**Density of states at the Fermi level**: 3.2 states/eV per cell
**Electronic total energy**: -20.08 eV/f.u.
**M_tot**: 3.18 μB/f.u.
**Energy above the lowest structure with this stoichiometry**: 0.0000 eV per atom
**Calculated density**: 7.06 g/cm³

=====

Entry 10:
VASP calculation (PBE) on an optimized crystal structure of Hg3GeF.

Unit cell a=5.2626 b=5.2626 c=5.2626 alpha=90.00 beta=90.00 gamma=90.00
Closest atoms and distances in Å follow each position.
Space group Pm-3m (No. 221)
Symmetry-distinct sites (fractional):
Hg 0.0000 0.0000 0.5000 [3 per cell]  2 Ge 2.63
Ge 0.0000 0.0000 0.0000 [1 per cell]  6 Hg 2.63
F 0.5000 0.5000 0.5000 [1 per cell]  12 Hg 3.72

**Density of states at the Fermi level**: 1.2 states/eV per cell
**Electronic total energy**: -8.41 eV/f.u.
**M_tot**: 0.00 μB/f.u.
**Energy above the lowest structure with this stoichiometry**: 0.0000 eV per atom
**ΔE_f (raw)**: -1.01 eV/f.u.
**Calculated density**: 7.90 g/cm³

=====

Entry 11:
VASP calculation (PBE) on an optimized crystal structure of Zn2OF.

Unit cell a=5.7343 b=3.3078 c=6.2558 alpha=90.00 beta=107.88 gamma=90.00
Closest atoms and distances in Å follow each position.
Space group Cm (No. 8)
Symmetry-distinct sites (fractional):
Zn 0.0000 0.0000 0.0000 [2 per cell]  3 O 1.97, 1 F 2.10
Zn 0.0211 0.5000 0.5650 [2 per cell]  1 O 2.10, 3 F 2.29
O 0.1391 0.5000 0.9172 [2 per cell]  4 Zn 1.97-2.10
F 0.1173 0.0000 0.3533 [2 per cell]  4 Zn 2.10-2.29

**Density of states at the Fermi level**: 1.8 states/eV per cell
**Electronic total energy**: -14.65 eV/f.u.
**M_tot**: 0.00 μB/f.u.
**Energy above the lowest structure with this stoichiometry**: 0.0000 eV per atom
**ΔE_f (raw)**: -5.27 eV/f.u.
**Calculated density**: 4.88 g/cm³

=====

Entry 12:
VASP calculation (PBE) on an optimized crystal structure of Hf2Bi2Br.

Unit cell a=8.1393 b=8.1393 c=3.8592 alpha=90.00 beta=90.00 gamma=90.00
Closest atoms and distances in Å follow each position.
Space group P4/mbm (No. 127)
Symmetry-distinct sites (fractional):
Hf 0.1418 0.3582 0.0000 [4 per cell]  6 Bi 3.06-3.08, 2 Br 3.14, 1 Hf 3.26
Bi 0.1495 0.6495 0.5000 [4 per cell]  6 Hf 3.06-3.08
Br 0.0000 0.0000 0.0000 [2 per cell]  4 Hf 3.14

**Density of states at the Fermi level**: 3.8 states/eV per cell
**Electronic total energy**: -30.42 eV/f.u.
**M_tot**: 0.00 μB/f.u.
**ΔE_f (raw)**: -1.08 eV/f.u.
**Calculated density**: 11.10 g/cm³